Entry 1:
VASP calculation (PBE-GGA) on a geometry-optimized PrErMg structure.

a = 5.2660 Å, b = 12.9539 Å, c = 5.2918 Å
α = 90.00°, β = 90.00°, γ = 90.00°
Space group Cmcm (No. 63)
Asymmetric unit:
Pr: 0.0000 0.0906 0.2500 [4 per cell]
Er: 0.0000 0.4075 0.2500 [4 per cell]
Mg: 0.0000 0.2496 0.7500 [4 per cell]

Values from the calculation:
Excess energy over the best structure of this formula in the dataset in eV/atom: 0.0000
DFT formation energy in eV/atom: -0.046
Spin magnetization in μB per cell: 0.00

Entry 2:
VASP calculation (PBE-GGA) on a geometry-optimized Pr3Er2Mg2 structure.

a = 5.3456 Å, b = 23.5482 Å, c = 3.5125 Å
α = 90.00°, β = 90.00°, γ = 90.00°
Space group Cmmm (No. 65)
Asymmetric unit:
Pr: 0.0000 0.0000 0.0000 [2 per cell]
Pr: 0.0000 0.1506 0.0000 [4 per cell]
Er: 0.0000 0.2876 0.5000 [4 per cell]
Mg: 0.0000 0.4303 0.5000 [4 per cell]

Values from the calculation:
DFT formation energy in eV/atom: 0.035
Spin magnetization in μB per cell: 0.74

Entry 3:
VASP calculation (PBE-GGA) on a geometry-optimized PrEr7Mg2 structure.

a = 8.7328 Å, b = 16.0242 Å, c = 5.3462 Å
α = 90.00°, β = 90.00°, γ = 90.00°
Space group Cmmm (No. 65)
Asymmetric unit:
Pr: 0.0000 0.0000 0.0000 [2 per cell]
Er: 0.0000 0.2154 0.0000 [4 per cell]
Er: 0.0000 0.5000 0.5000 [2 per cell]
Er: 0.1814 0.1147 0.5000 [8 per cell]
Mg: 0.0000 0.2980 0.5000 [4 per cell]

Values from the calculation:
DFT formation energy in eV/atom: 0.598
Spin magnetization in μB per cell: 1.44